{
  "formula": "NdHoPb",
  "functional": "PBE",
  "state": "relaxed",
  "density_g_cm3": 9.11,
  "dft_energy_ev_per_atom": -4.81,
  "n_ef_per_ev_cell": 7.3,
  "delta_e_f_ev_per_atom": -0.458,
  "lattice": [[-1.506, 3.779, 2.306], [-1.108, -2.680, 3.668], [9.193, 0.618, 0.248]],
  "species": ["Nd", "Nd", "Ho", "Ho", "Pb", "Pb"],
  "frac_coords": [[0.324, 0.324, 0.649], [0.676, 0.676, 0.351], [0.500, 0.000, 0.000], [0.000, 0.500, 0.000], [0.866, 0.866, 0.732], [0.134, 0.134, 0.268]]
}